VASP calculation (PBE) on a relaxed structure of Cr2Pb.

CIF file:
```
data_Cr2Pb
_cell_length_a 4.3310
_cell_length_b 4.3310
_cell_length_c 3.7725
_cell_angle_alpha 90.00
_cell_angle_beta 90.00
_cell_angle_gamma 90.00
_symmetry_space_group_name_H-M 'P 4/m m m'
_symmetry_Int_Tables_number 123
_symmetry_space_group_name_Hall '-P 4 2'
loop_
_atom_site_label
_atom_site_type_symbol
_atom_site_fract_x
_atom_site_fract_y
_atom_site_fract_z
Cr1 Cr 0.0000 0.5000 0.0000
Pb1 Pb 0.0000 0.0000 0.5000
```

Its density of states at the Fermi level is 0.8 states/eV/f.u. The calculation puts the total energy at -6.58 eV/atom. The value obtained for the energy above the lowest structure with this stoichiometry is 639 meV per atom. As for the formation energy: 1070 meV/atom. The total magnetization is 8.117 μB per formula unit.

VASP calculation (PBE) on a relaxed structure of TePdPtN2.

CIF file:
```
data_TePdPtN2
_cell_length_a 3.8107
_cell_length_b 3.8107
_cell_length_c 6.6283
_cell_angle_alpha 90.00
_cell_angle_beta 90.00
_cell_angle_gamma 90.00
_symmetry_space_group_name_H-M 'P 4/m m m'
_symmetry_Int_Tables_number 123
_symmetry_space_group_name_Hall '-P 4 2'
loop_
_atom_site_label
_atom_site_type_symbol
_atom_site_fract_x
_atom_site_fract_y
_atom_site_fract_z
Te1 Te 0.0000 0.0000 0.0000
Pd1 Pd 0.0000 0.0000 0.5000
Pt1 Pt 0.5000 0.5000 0.0000
N1 N 0.0000 0.5000 0.5000
```

Its density of states at the Fermi level is 4.1 states/eV/f.u. The calculation puts the total energy at -4.76 eV/atom. The value obtained for the energy above the lowest structure with this stoichiometry is 377 meV per atom. The formation energy (no corrections) is 1.45 eV/atom. The total magnetization is 0.827 μB per formula unit.

VASP calculation (PBE) on a relaxed structure of Ac3Pr5Dy3.

CIF file:
```
data_Ac3Pr5Dy3
_cell_length_a 9.7640
_cell_length_b 9.7640
_cell_length_c 6.1112
_cell_angle_alpha 90.00
_cell_angle_beta 90.00
_cell_angle_gamma 120.00
_symmetry_space_group_name_H-M 'P -6 2 m'
_symmetry_Int_Tables_number 189
_symmetry_space_group_name_Hall 'P -6 -2'
loop_
_atom_site_label
_atom_site_type_symbol
_atom_site_fract_x
_atom_site_fract_y
_atom_site_fract_z
Ac1 Ac 0.0000 0.5874 0.0000
Pr1 Pr 0.0000 0.3783 0.5000
Pr2 Pr 0.3333 0.6667 0.5000
Dy1 Dy 0.0000 0.7494 0.5000
```

Its density of states at the Fermi level is 22.5 states/eV/f.u. The calculation puts the total energy at -3.86 eV/atom. As for the formation energy: 684 meV/atom. The total magnetization is 0.000 μB per formula unit.

VASP calculation (PBE) on a relaxed structure of TlHg3Au.

CIF file:
```
data_TlHg3Au
_cell_length_a 7.5788
_cell_length_b 7.5788
_cell_length_c 5.5667
_cell_angle_alpha 90.00
_cell_angle_beta 90.00
_cell_angle_gamma 120.00
_symmetry_space_group_name_H-M 'P 63/m m c'
_symmetry_Int_Tables_number 194
_symmetry_space_group_name_Hall '-P 6c 2c'
loop_
_atom_site_label
_atom_site_type_symbol
_atom_site_fract_x
_atom_site_fract_y
_atom_site_fract_z
Tl1 Tl 0.3333 0.6667 0.2500
Hg1 Hg 0.1952 0.3905 0.7500
Au1 Au 0.0000 0.0000 0.0000
```

Its density of states at the Fermi level is 0.9 states/eV/f.u. The calculation puts the total energy at -1.28 eV/atom. The value obtained for the energy above the lowest structure with this stoichiometry is 14 meV per atom. As for the formation energy: 25 meV/atom. The total magnetization is 0.000 μB per formula unit.

VASP calculation (PBE) on a relaxed structure of LiTm2PbS.

CIF file:
```
data_LiTm2PbS
_cell_length_a 7.5204
_cell_length_b 3.9365
_cell_length_c 8.0413
_cell_angle_alpha 90.00
_cell_angle_beta 108.87
_cell_angle_gamma 90.00
_symmetry_space_group_name_H-M 'P 1 21/m 1'
_symmetry_Int_Tables_number 11
_symmetry_space_group_name_Hall '-P 2yb'
loop_
_atom_site_label
_atom_site_type_symbol
_atom_site_fract_x
_atom_site_fract_y
_atom_site_fract_z
Li1 Li 0.0533 0.2500 0.1398
Tm1 Tm 0.2560 0.7500 0.5188
Tm2 Tm 0.3874 0.7500 0.1149
Pb1 Pb 0.1727 0.2500 0.7943
S1 S 0.3553 0.2500 0.3314
```

Its density of states at the Fermi level is 2.4 states/eV/f.u. The calculation puts the total energy at -4.71 eV/atom. The formation energy (no corrections) is -0.97 eV/atom. The total magnetization is 0.000 μB per formula unit.

VASP calculation (PBE) on a relaxed structure of SmY4ErS8.

CIF file:
```
data_SmY4ErS8
_cell_length_a 8.0853
_cell_length_b 8.0853
_cell_length_c 19.7457
_cell_angle_alpha 90.00
_cell_angle_beta 90.00
_cell_angle_gamma 120.00
_symmetry_space_group_name_H-M 'R 3 m'
_symmetry_Int_Tables_number 160
_symmetry_space_group_name_Hall 'R 3 -2"'
loop_
_atom_site_label
_atom_site_type_symbol
_atom_site_fract_x
_atom_site_fract_y
_atom_site_fract_z
Sm1 Sm 0.0000 0.0000 0.0000
Y1 Y 0.0000 0.0000 0.2490
Y2 Y 0.0015 0.5008 0.1247
Er1 Er 0.0000 0.0000 0.6241
S1 S 0.0000 0.0000 0.3814
S2 S 0.0000 0.0000 0.8653
S3 S 0.0279 0.5139 0.3767
S4 S 0.1777 0.3554 0.2066
```

Its density of states at the Fermi level is 8.7 states/eV/f.u. The calculation puts the total energy at -6.81 eV/atom. The formation energy (no corrections) is -1.94 eV/atom. The total magnetization is 0.000 μB per formula unit.

VASP calculation (PBE) on a relaxed structure of Ti2Ni2Sb.

CIF file:
```
data_Ti2Ni2Sb
_cell_length_a 6.6757
_cell_length_b 6.6757
_cell_length_c 3.4139
_cell_angle_alpha 90.00
_cell_angle_beta 90.00
_cell_angle_gamma 90.00
_symmetry_space_group_name_H-M 'P 4/m b m'
_symmetry_Int_Tables_number 127
_symmetry_space_group_name_Hall '-P 4 2ab'
loop_
_atom_site_label
_atom_site_type_symbol
_atom_site_fract_x
_atom_site_fract_y
_atom_site_fract_z
Ti1 Ti 0.1648 0.3352 0.0000
Ni1 Ni 0.1267 0.6267 0.5000
Sb1 Sb 0.0000 0.0000 0.5000
```

Its density of states at the Fermi level is 2.5 states/eV/f.u. The calculation puts the total energy at -6.72 eV/atom. The value obtained for the energy above the lowest structure with this stoichiometry is 0 meV per atom. The formation energy (no corrections) is -0.42 eV/atom. The total magnetization is 0.000 μB per formula unit.

VASP calculation (PBE) on a relaxed structure of DyBi2TeO4.

CIF file:
```
data_DyBi2TeO4
_cell_length_a 3.8861
_cell_length_b 3.8861
_cell_length_c 10.1583
_cell_angle_alpha 90.00
_cell_angle_beta 90.00
_cell_angle_gamma 90.00
_symmetry_space_group_name_H-M 'P 4/m m m'
_symmetry_Int_Tables_number 123
_symmetry_space_group_name_Hall '-P 4 2'
loop_
_atom_site_label
_atom_site_type_symbol
_atom_site_fract_x
_atom_site_fract_y
_atom_site_fract_z
Dy1 Dy 0.0000 0.0000 0.0000
Bi1 Bi 0.5000 0.5000 0.2482
Te1 Te 0.0000 0.0000 0.5000
O1 O 0.0000 0.5000 0.1365
```

Its density of states at the Fermi level is 2.1 states/eV/f.u. The calculation puts the total energy at -6.20 eV/atom. The formation energy (no corrections) is -1.79 eV/atom. The total magnetization is 0.000 μB per formula unit.

VASP calculation (PBE) on a relaxed structure of Tb2ErTe.

CIF file:
```
data_Tb2ErTe
_cell_length_a 3.9407
_cell_length_b 12.0999
_cell_length_c 9.8433
_cell_angle_alpha 90.00
_cell_angle_beta 90.00
_cell_angle_gamma 90.00
_symmetry_space_group_name_H-M 'C m c m'
_symmetry_Int_Tables_number 63
_symmetry_space_group_name_Hall '-C 2c 2'
loop_
_atom_site_label
_atom_site_type_symbol
_atom_site_fract_x
_atom_site_fract_y
_atom_site_fract_z
Tb1 Tb 0.0000 0.1345 0.0377
Er1 Er 0.0000 0.4420 0.2500
Te1 Te 0.0000 0.2642 0.7500
```

Its density of states at the Fermi level is 4.2 states/eV/f.u. The calculation puts the total energy at -4.89 eV/atom. The value obtained for the energy above the lowest structure with this stoichiometry is 0 meV per atom. The formation energy (no corrections) is -0.65 eV/atom. The total magnetization is 0.001 μB per formula unit.

VASP calculation (PBE) on a relaxed structure of BaLi3As3.

CIF file:
```
data_BaLi3As3
_cell_length_a 6.9008
_cell_length_b 6.9008
_cell_length_c 6.9008
_cell_angle_alpha 90.00
_cell_angle_beta 90.00
_cell_angle_gamma 90.00
_symmetry_space_group_name_H-M 'P m -3 n'
_symmetry_Int_Tables_number 223
_symmetry_space_group_name_Hall '-P 4n 2 3'
loop_
_atom_site_label
_atom_site_type_symbol
_atom_site_fract_x
_atom_site_fract_y
_atom_site_fract_z
Ba1 Ba 0.0000 0.0000 0.0000
Li1 Li 0.0000 0.2500 0.5000
As1 As 0.0000 0.5000 0.2500
```

Its density of states at the Fermi level is 6.2 states/eV/f.u. The calculation puts the total energy at -3.45 eV/atom. As for the formation energy: -365 meV/atom. The total magnetization is 0.004 μB per formula unit.

Q: Number 6 is which compound?
A: SmY4ErS8

What did the seventh record say?
VASP calculation (PBE) on a relaxed structure of Ti2Ni2Sb.

CIF file:
```
data_Ti2Ni2Sb
_cell_length_a 6.6757
_cell_length_b 6.6757
_cell_length_c 3.4139
_cell_angle_alpha 90.00
_cell_angle_beta 90.00
_cell_angle_gamma 90.00
_symmetry_space_group_name_H-M 'P 4/m b m'
_symmetry_Int_Tables_number 127
_symmetry_space_group_name_Hall '-P 4 2ab'
loop_
_atom_site_label
_atom_site_type_symbol
_atom_site_fract_x
_atom_site_fract_y
_atom_site_fract_z
Ti1 Ti 0.1648 0.3352 0.0000
Ni1 Ni 0.1267 0.6267 0.5000
Sb1 Sb 0.0000 0.0000 0.5000
```

Its density of states at the Fermi level is 2.5 states/eV/f.u. The calculation puts the total energy at -6.72 eV/atom. The value obtained for the energy above the lowest structure with this stoichiometry is 0 meV per atom. The formation energy (no corrections) is -0.42 eV/atom. The total magnetization is 0.000 μB per formula unit.

Q: total magnetization of number 4 (TlHg3Au)?
A: 0.000 μB per formula unit